! PBE with a Hubbard U V2PdO, optimized geometry; values from VASP
&SYSTEM
  ibrav = 0, nat = 4, ntyp = 3
/
ATOMIC_SPECIES
V 50.94 V.upf
O 16.00 O.upf
Pd 106.42 Pd.upf
CELL_PARAMETERS angstrom
3.0158 0.0000 0.0000
1.5079 2.6118 0.0000
1.5079 0.8706 7.1492
ATOMIC_POSITIONS crystal
V 0.7301 0.7301 0.8097
O 0.0000 0.0000 0.0000
V 0.2699 0.2699 0.1903
Pd 0.5000 0.5000 0.5000
! raw total energy = -6.6680 eV/atom